[1]
## SiSnOF2 (meta-GGA SCAN)

Data for a PBEsol-optimized structure of SiSnOF2.

Calculated values
Space group: P4/mmm, No. 123

a b c (Å): 3.4497 4.4776 4.4776
angles (deg): 90.00 90.00 90.00
With the nearest neighbours (Å) after each atom.
Atoms (fractional coordinates):
Sn 0.5000 0.5000 0.5000  8 F 2.83
F 0.0000 0.0000 0.5000  2 Si 2.24
F 0.0000 0.5000 0.0000  2 Si 2.24
Si 0.0000 0.0000 0.0000  2 O 1.72
O 0.5000 0.0000 0.0000  2 Si 1.72

[2]
## FeSi2Mo (meta-GGA SCAN)

Data for a PBEsol-optimized structure of FeSi2Mo.

Calculated values
Space group: P4mm, No. 99

a b c (Å): 3.0861 3.0861 5.2611
angles (deg): 90.00 90.00 90.00
With the nearest neighbours (Å) after each atom.
Atoms (fractional coordinates):
Mo 0.5000 0.5000 0.7694  6 Si 2.50-2.64, 4 Fe 2.72
Si 0.5000 0.5000 0.2672  4 Fe 2.41, 4 Si 2.59, 2 Mo 2.62-2.64
Si 0.0000 0.0000 0.0027  1 Fe 2.41, 4 Mo 2.50, 4 Si 2.59
Fe 0.0000 0.0000 0.4607  5 Si 2.41

| no. | formation energy without anion corrections (eV per atom) | calculated total energy (eV per formula unit) |
| --- | --- | --- |
| 1 | -1.40 | -66.26 |
| 2 | -0.25 | -74.03 |